[1]
! Nd2Dy4Y3 | Alexandria via LeMat-Bulk | PBE-GGA | relaxed; values from VASP
&SYSTEM
  ibrav = 0, nat = 18, ntyp = 3
/
ATOMIC_SPECIES
Y 88.91 Y.upf
Dy 162.50 Dy.upf
Nd 144.24 Nd.upf
CELL_PARAMETERS angstrom
5.6829 1.6094 1.1523
1.9680 11.1238 0.7812
1.9680 4.3238 10.2788
ATOMIC_POSITIONS angstrom
Y 4.6672 14.3193 8.0878
Dy 2.1734 9.5712 1.2047
Nd 2.7831 8.6913 7.8553
Dy 8.0517 13.5068 8.1119
Dy 5.0149 5.0291 9.2487
Y 2.1104 3.9820 0.6865
Nd 3.9944 6.0155 5.9395
Y 4.9518 2.7376 4.1245
Dy 4.4087 5.8303 2.6157
Y 3.3888 9.1477 4.3913
Nd 6.8359 8.3657 4.3570
Dy 4.6041 12.0279 2.9636
Nd 5.6245 11.0415 6.2728
Y 6.2302 7.9093 7.8210
Dy 1.5673 3.5501 4.1004
Y 7.5086 13.0750 11.5258
Dy 7.4455 7.4858 11.0077
Dy 5.2103 11.2266 9.5966
! magnetization = 0.00 μB/f.u.
! symmetry = C2/c
! calculated formation energy = 0.094 eV/atom

[2]
! CuPF2 | Alexandria via LeMat-Bulk | PBE-GGA | relaxed; values from VASP
&SYSTEM
  ibrav = 0, nat = 8, ntyp = 3
/
ATOMIC_SPECIES
F 19.00 F.upf
Cu 63.55 Cu.upf
P 30.97 P.upf
CELL_PARAMETERS angstrom
7.7326 0.0000 0.0000
0.0000 7.7326 0.0000
3.8663 3.8663 2.1745
ATOMIC_POSITIONS angstrom
F 3.2655 5.7994 0.5436
F 4.4671 1.9331 0.5436
Cu 0.0000 0.0000 0.0000
P 3.8663 3.8663 0.0000
F 5.7994 7.1318 1.6309
F 9.6657 8.3334 1.6309
Cu 7.7326 3.8663 1.0873
P 3.8663 7.7326 1.0873
! magnetization = 0.00 μB/f.u.
! polymorph energy (0 for the lowest one) = 0.64 eV/f.u.
! formation energy without anion corrections = -765 meV/atom
! symmetry = I-42d

[3]
! GeRuI2 | Alexandria via LeMat-Bulk | PBE-GGA | relaxed; values from VASP
&SYSTEM
  ibrav = 0, nat = 4, ntyp = 3
/
ATOMIC_SPECIES
I 126.90 I.upf
Ge 72.64 Ge.upf
Ru 101.07 Ru.upf
CELL_PARAMETERS angstrom
2.4415 1.5259 4.2328
0.9283 4.9756 0.7664
-2.5401 2.5462 3.6429
ATOMIC_POSITIONS angstrom
I 0.6223 6.7858 6.4816
I 0.2074 2.2619 2.1605
Ge 0.0000 0.0000 0.0000
Ru 0.4149 4.5239 4.3210
! magnetization = 2.12 μB/f.u.
! polymorph energy (0 for the lowest one) = 0.37 eV/f.u.
! formation energy without anion corrections = 824 meV/atom
! symmetry = Fm-3m

[4]
! K2RbBr | Alexandria via LeMat-Bulk | PBE-GGA | relaxed; values from VASP
&SYSTEM
  ibrav = 0, nat = 4, ntyp = 3
/
ATOMIC_SPECIES
K 39.10 K.upf
Br 79.90 Br.upf
Rb 85.47 Rb.upf
CELL_PARAMETERS angstrom
3.2888 -0.4854 5.9937
2.1263 5.6695 3.2113
-3.0838 2.0283 5.7751
ATOMIC_POSITIONS angstrom
K 0.5828 1.8031 3.7450
Br 0.0000 0.0000 0.0000
K 1.7484 5.4093 11.2350
Rb 1.1656 3.6062 7.4900
! magnetization = 0.00 μB/f.u.
! polymorph energy (0 for the lowest one) = 1.29 eV/f.u.
! formation energy without anion corrections = -495 meV/atom
! symmetry = Fm-3m